GGA-PBEsol Li2TaPt, optimized geometry; crystal system = tetragonal; total magnetization = 0.0 μB/cell; ΔE_f = 0.27 eV/atom; energy above the lowest structure with this stoichiometry = 359.4 meV per atom; V = 53.4 Å³/cell; space group = P4/mmm, No. 123; DFT total energy = -0.41077 Ry/atom
1.0
2.900 0.000 0.000
0.000 4.292 0.000
0.000 0.000 4.292
Li Pt Ta
2 1 1
direct
0.000 0.000 0.500
0.000 0.500 0.000
0.500 0.500 0.500
0.500 0.000 0.000